Entry 1:
An optimized crystal structure of NdMgZnAg, computed with PBE.

```
NdMgZnAg
1.0
0.000 3.532 3.532
3.532 0.000 3.532
3.532 3.532 0.000
Ag Mg Nd Zn
1 1 1 1
direct
0.750 0.750 0.750 Ag
0.000 0.000 0.000 Mg
0.500 0.500 0.500 Nd
0.250 0.250 0.250 Zn
```

Output
Energy (eV/atom): -2.924
Size of the total moment (μB per formula unit): 0.00

Entry 2:
An optimized crystal structure of Ho2Mg, computed with PBE.

```
Ho2Mg
1.0
4.718 2.724 7.704
-4.718 2.724 7.704
0.000 -5.447 7.704
Ho Mg
4 2
direct
0.375 0.375 0.375 Ho
0.375 0.875 0.375 Ho
0.875 0.375 0.375 Ho
0.375 0.375 0.875 Ho
0.250 0.250 0.250 Mg
0.500 0.500 0.500 Mg
```

Output
Energy (eV/atom): -1.483
Size of the total moment (μB per formula unit): 0.08